[1]
A geometry-optimized CuSnI2 structure, computed with PBE.

abc: 3.916 3.916 9.824
angles: 78.50 78.50 60.00
Fractional coordinates of all 4 atoms:
1 I 0.110 0.110 0.669
2 I 0.890 0.890 0.331
3 Sn 0.000 0.000 0.000
4 Cu 0.500 0.500 0.500

Results
Excess energy over the best structure of this formula in the dataset: 0 meV/atom
Uncorrected energy: -2.773 eV/atom
Energy relative to the elements, uncorrected: 26.8 meV per atom
Crystal system: trigonal



[2]
A geometry-optimized Cu2SnI4 structure, computed with PBE.

abc: 6.228 6.228 6.942
angles: 90.00 90.00 90.00
Fractional coordinates of all 7 atoms:
1 Cu 0.500 0.000 0.500
2 Cu 0.000 0.500 0.500
3 Sn 0.000 0.000 0.000
4 I 0.733 0.267 0.710
5 I 0.267 0.267 0.290
6 I 0.267 0.733 0.710
7 I 0.733 0.733 0.290

Results
Excess energy over the best structure of this formula in the dataset: 42 meV/atom
Uncorrected energy: -2.852 eV/atom
Energy relative to the elements, uncorrected: -223.6 meV per atom
Crystal system: tetragonal



[3]
A geometry-optimized Cu5Sn3I12 structure, computed with PBE.

abc: 15.125 15.125 15.125
angles: 109.47 109.47 109.47
Fractional coordinates of all 80 atoms:
1 Sn 0.750 0.375 0.125
2 Sn 0.875 0.750 0.125
3 Sn 0.375 0.750 0.625
4 Sn 0.250 0.125 0.375
5 Sn 0.875 0.125 0.250
6 Sn 0.375 0.625 0.250
7 Sn 0.625 0.375 0.750
8 Sn 0.125 0.875 0.750
9 Sn 0.750 0.875 0.625
10 Sn 0.625 0.250 0.375
11 Sn 0.125 0.250 0.875
12 Sn 0.250 0.625 0.875
13 Cu 0.125 0.375 0.250
14 Cu 0.000 0.500 0.000
15 Cu 0.000 0.000 0.000
16 Cu 0.375 0.250 0.125
17 Cu 0.500 0.000 0.500
18 Cu 0.500 0.500 0.000
19 Cu 0.125 0.750 0.375
20 Cu 0.750 0.125 0.875
21 Cu 0.750 0.625 0.375
22 Cu 0.375 0.125 0.750
23 Cu 0.625 0.875 0.250
24 Cu 0.500 0.500 0.500
25 Cu 0.500 0.000 0.000
26 Cu 0.000 0.000 0.500
27 Cu 0.250 0.375 0.625
28 Cu 0.250 0.875 0.125
29 Cu 0.000 0.500 0.500
30 Cu 0.875 0.250 0.625
31 Cu 0.625 0.750 0.875
32 Cu 0.875 0.625 0.750
33 I 0.707 0.119 0.026
34 I 0.320 0.526 0.407
35 I 0.974 0.381 0.293
36 I 0.526 0.207 0.119
37 I 0.588 0.707 0.680
38 I 0.974 0.593 0.180
39 I 0.320 0.793 0.412
40 I 0.093 0.912 0.119
41 I 0.593 0.974 0.680
42 I 0.707 0.588 0.180
43 I 0.793 0.474 0.381
44 I 0.820 0.907 0.026
45 I 0.119 0.707 0.526
46 I 0.381 0.407 0.088
47 I 0.088 0.907 0.381
48 I 0.412 0.119 0.593
49 I 0.088 0.180 0.207
50 I 0.474 0.680 0.093
51 I 0.820 0.912 0.293
52 I 0.119 0.412 0.093
53 I 0.381 0.974 0.793
54 I 0.593 0.619 0.412
55 I 0.907 0.820 0.526
56 I 0.793 0.320 0.912
57 I 0.407 0.381 0.588
58 I 0.093 0.180 0.474
59 I 0.207 0.680 0.088
60 I 0.180 0.088 0.707
61 I 0.619 0.026 0.207
62 I 0.881 0.588 0.907
63 I 0.526 0.320 0.907
64 I 0.588 0.881 0.407
65 I 0.912 0.820 0.793
66 I 0.912 0.093 0.619
67 I 0.881 0.293 0.474
68 I 0.180 0.093 0.974
69 I 0.619 0.593 0.912
70 I 0.407 0.026 0.320
71 I 0.293 0.412 0.820
72 I 0.207 0.526 0.619
73 I 0.907 0.088 0.881
74 I 0.680 0.207 0.588
75 I 0.474 0.793 0.881
76 I 0.026 0.407 0.820
77 I 0.412 0.293 0.320
78 I 0.026 0.619 0.707
79 I 0.680 0.474 0.593
80 I 0.293 0.881 0.974

Results
Uncorrected energy: -2.772 eV/atom
Energy relative to the elements, uncorrected: -217.0 meV per atom
Crystal system: cubic



[4]
A geometry-optimized CuSnI3 structure, computed with PBE.

abc: 7.492 9.793 11.325
angles: 90.00 84.78 90.00
Fractional coordinates of all 20 atoms:
1 Cu 0.586 0.497 0.894
2 Cu 0.414 0.503 0.106
3 Cu 0.914 0.997 0.606
4 Cu 0.086 0.003 0.394
5 Sn 0.473 0.247 0.495
6 Sn 0.527 0.753 0.505
7 Sn 0.027 0.747 0.005
8 Sn 0.973 0.253 0.995
9 I 0.574 0.041 0.676
10 I 0.426 0.959 0.324
11 I 0.926 0.541 0.824
12 I 0.074 0.459 0.176
13 I 0.446 0.466 0.685
14 I 0.554 0.534 0.315
15 I 0.054 0.966 0.815
16 I 0.946 0.034 0.185
17 I 0.064 0.227 0.524
18 I 0.936 0.773 0.476
19 I 0.436 0.727 0.976
20 I 0.564 0.273 0.024

Results
Excess energy over the best structure of this formula in the dataset: 29 meV/atom
Uncorrected energy: -2.861 eV/atom
Energy relative to the elements, uncorrected: -310.7 meV per atom
Crystal system: monoclinic



[5]
A geometry-optimized Cu3SnI9 structure, computed with PBE.

abc: 9.613 11.678 11.999
angles: 71.49 66.39 65.69
Fractional coordinates of all 26 atoms:
1 Cu 0.792 0.557 0.663
2 Cu 0.988 0.057 0.163
3 Cu 0.022 0.924 0.830
4 Cu 0.224 0.424 0.330
5 Cu 0.559 0.290 0.730
6 Cu 0.420 0.790 0.230
7 Sn 0.002 0.500 0.005
8 Sn 0.493 0.000 0.505
9 I 0.379 0.194 0.300
10 I 0.126 0.694 0.800
11 I 0.325 0.312 0.936
12 I 0.426 0.812 0.436
13 I 0.186 0.074 0.699
14 I 0.040 0.574 0.199
15 I 0.673 0.688 0.051
16 I 0.589 0.188 0.551
17 I 0.852 0.909 0.338
18 I 0.901 0.409 0.838
19 I 0.651 0.792 0.685
20 I 0.872 0.292 0.185
21 I 0.394 0.559 0.321
22 I 0.726 0.059 0.821
23 I 0.671 0.461 0.575
24 I 0.293 0.961 0.075
25 I 0.846 0.996 0.044
26 I 0.114 0.496 0.544

Results
Uncorrected energy: -2.477 eV/atom
Energy relative to the elements, uncorrected: -150.6 meV per atom
Crystal system: monoclinic



[6]
A geometry-optimized CuSnTe2I structure, computed with PBE.

abc: 5.252 5.252 5.322
angles: 90.00 90.00 90.00
Fractional coordinates of all 5 atoms:
1 I 0.000 0.000 0.500
2 Te 0.000 0.500 0.000
3 Te 0.500 0.000 0.000
4 Sn 0.500 0.500 0.500
5 Cu 0.000 0.000 0.000

Results
Excess energy over the best structure of this formula in the dataset: 0 meV/atom
Uncorrected energy: -2.997 eV/atom
Energy relative to the elements, uncorrected: 189.7 meV per atom
Crystal system: tetragonal



[7]
A geometry-optimized Tl2Cu2SnI6 structure, computed with PBE.

abc: 8.495 8.346 8.427
angles: 116.23 90.00 120.59
Fractional coordinates of all 11 atoms:
1 Tl 0.741 0.482 0.202
2 Tl 0.259 0.518 0.798
3 Cu 0.959 0.917 0.813
4 Cu 0.041 0.083 0.187
5 Sn 0.500 0.000 0.500
6 I 0.751 0.501 0.626
7 I 0.182 0.871 0.178
8 I 0.311 0.129 0.822
9 I 0.818 0.129 0.822
10 I 0.689 0.871 0.178
11 I 0.249 0.499 0.374

Results
Uncorrected energy: -2.756 eV/atom
Energy relative to the elements, uncorrected: -371.3 meV per atom
Crystal system: monoclinic



[8]
A geometry-optimized Tl2CuSnI6 structure, computed with PBE.

abc: 7.975 8.417 11.351
angles: 90.00 89.57 90.00
Fractional coordinates of all 20 atoms:
1 Tl 0.031 0.912 0.249
2 Tl 0.531 0.588 0.749
3 Tl 0.969 0.088 0.751
4 Tl 0.469 0.412 0.251
5 Cu 0.500 0.000 0.500
6 Cu 0.000 0.500 0.000
7 Sn 0.500 0.000 0.000
8 Sn 0.000 0.500 0.500
9 I 0.295 0.691 0.040
10 I 0.795 0.809 0.540
11 I 0.705 0.309 0.960
12 I 0.205 0.191 0.460
13 I 0.312 0.709 0.457
14 I 0.812 0.791 0.957
15 I 0.688 0.291 0.543
16 I 0.188 0.209 0.043
17 I 0.912 0.510 0.236
18 I 0.412 0.990 0.736
19 I 0.088 0.490 0.764
20 I 0.588 0.010 0.264

Results
Uncorrected energy: -2.623 eV/atom
Energy relative to the elements, uncorrected: -409.7 meV per atom
Crystal system: monoclinic



[9]
A geometry-optimized Sr2CuI structure, computed with PBE.

abc: 8.535 8.535 7.386
angles: 54.71 54.71 90.00
Fractional coordinates of all 8 atoms:
1 I 0.000 0.000 0.000
2 I 0.750 0.250 0.500
3 Sr 0.588 0.125 0.250
4 Sr 0.162 0.625 0.250
5 Sr 0.375 0.412 0.750
6 Sr 0.875 0.838 0.750
7 Cu 0.500 0.500 0.000
8 Cu 0.250 0.750 0.500

Results
Excess energy over the best structure of this formula in the dataset: 215 meV/atom
Uncorrected energy: -2.663 eV/atom
Energy relative to the elements, uncorrected: -410.1 meV per atom
Crystal system: tetragonal



[10]
A geometry-optimized SrCuI4 structure, computed with PBE.

abc: 6.893 8.094 10.979
angles: 90.00 90.00 126.11
Fractional coordinates of all 12 atoms:
1 Sr 0.992 0.621 0.750
2 Sr 0.008 0.379 0.250
3 Cu 0.990 0.094 0.750
4 Cu 0.010 0.906 0.250
5 I 0.593 0.741 0.750
6 I 0.407 0.259 0.250
7 I 0.388 0.141 0.750
8 I 0.612 0.859 0.250
9 I 0.012 0.709 0.060
10 I 0.988 0.291 0.560
11 I 0.012 0.709 0.440
12 I 0.988 0.291 0.940

Results
Uncorrected energy: -2.808 eV/atom
Energy relative to the elements, uncorrected: -812.0 meV per atom
Crystal system: monoclinic



[11]
A geometry-optimized Sr2CuI structure, computed with PBE.

abc: 4.448 4.448 8.859
angles: 75.46 75.46 60.00
Fractional coordinates of all 4 atoms:
1 I 0.500 0.500 0.500
2 Sr 0.734 0.734 0.798
3 Sr 0.266 0.266 0.202
4 Cu 0.000 0.000 0.000

Results
Excess energy over the best structure of this formula in the dataset: 0 meV/atom
Uncorrected energy: -2.878 eV/atom
Energy relative to the elements, uncorrected: -625.2 meV per atom
Crystal system: trigonal



[12]
A geometry-optimized Sr3Cu5I12 structure, computed with PBE.

abc: 15.330 15.330 15.330
angles: 109.47 109.47 109.47
Fractional coordinates of all 80 atoms:
1 Sr 0.750 0.375 0.125
2 Sr 0.875 0.750 0.125
3 Sr 0.375 0.750 0.625
4 Sr 0.250 0.125 0.375
5 Sr 0.875 0.125 0.250
6 Sr 0.375 0.625 0.250
7 Sr 0.625 0.375 0.750
8 Sr 0.125 0.875 0.750
9 Sr 0.750 0.875 0.625
10 Sr 0.625 0.250 0.375
11 Sr 0.125 0.250 0.875
12 Sr 0.250 0.625 0.875
13 Cu 0.125 0.375 0.250
14 Cu 0.000 0.500 0.000
15 Cu 0.000 0.000 0.000
16 Cu 0.375 0.250 0.125
17 Cu 0.500 0.000 0.500
18 Cu 0.500 0.500 0.000
19 Cu 0.125 0.750 0.375
20 Cu 0.750 0.125 0.875
21 Cu 0.750 0.625 0.375
22 Cu 0.375 0.125 0.750
23 Cu 0.625 0.875 0.250
24 Cu 0.500 0.500 0.500
25 Cu 0.500 0.000 0.000
26 Cu 0.000 0.000 0.500
27 Cu 0.250 0.375 0.625
28 Cu 0.250 0.875 0.125
29 Cu 0.000 0.500 0.500
30 Cu 0.875 0.250 0.625
31 Cu 0.625 0.750 0.875
32 Cu 0.875 0.625 0.750
33 I 0.704 0.118 0.024
34 I 0.319 0.524 0.406
35 I 0.976 0.382 0.296
36 I 0.524 0.204 0.118
37 I 0.586 0.704 0.681
38 I 0.976 0.594 0.181
39 I 0.319 0.796 0.414
40 I 0.094 0.914 0.118
41 I 0.594 0.976 0.681
42 I 0.704 0.586 0.181
43 I 0.796 0.476 0.382
44 I 0.819 0.906 0.024
45 I 0.118 0.704 0.524
46 I 0.382 0.406 0.086
47 I 0.086 0.906 0.382
48 I 0.414 0.118 0.594
49 I 0.086 0.181 0.204
50 I 0.476 0.681 0.094
51 I 0.819 0.914 0.296
52 I 0.118 0.414 0.094
53 I 0.382 0.976 0.796
54 I 0.594 0.618 0.414
55 I 0.906 0.819 0.524
56 I 0.796 0.319 0.914
57 I 0.406 0.382 0.586
58 I 0.094 0.181 0.476
59 I 0.204 0.681 0.086
60 I 0.181 0.086 0.704
61 I 0.618 0.024 0.204
62 I 0.882 0.586 0.906
63 I 0.524 0.319 0.906
64 I 0.586 0.882 0.406
65 I 0.914 0.819 0.796
66 I 0.914 0.094 0.618
67 I 0.882 0.296 0.476
68 I 0.181 0.094 0.976
69 I 0.618 0.594 0.914
70 I 0.406 0.024 0.319
71 I 0.296 0.414 0.819
72 I 0.204 0.524 0.618
73 I 0.906 0.086 0.882
74 I 0.681 0.204 0.586
75 I 0.476 0.796 0.882
76 I 0.024 0.406 0.819
77 I 0.414 0.296 0.319
78 I 0.024 0.618 0.704
79 I 0.681 0.476 0.594
80 I 0.296 0.882 0.976

Results
Uncorrected energy: -2.987 eV/atom
Energy relative to the elements, uncorrected: -780.9 meV per atom
Crystal system: cubic



[13]
A geometry-optimized Sr2Cu2I7 structure, computed with PBE.

abc: 7.411 8.332 8.332
angles: 106.11 99.11 99.11
Fractional coordinates of all 11 atoms:
1 Sr 0.500 0.293 0.707
2 Sr 0.500 0.707 0.293
3 Cu 0.920 0.239 0.239
4 Cu 0.080 0.761 0.761
5 I 0.249 0.898 0.560
6 I 0.751 0.440 0.102
7 I 0.751 0.102 0.440
8 I 0.249 0.560 0.898
9 I 0.000 0.000 0.000
10 I 0.726 0.640 0.640
11 I 0.274 0.360 0.360

Results
Uncorrected energy: -2.947 eV/atom
Energy relative to the elements, uncorrected: -910.5 meV per atom
Crystal system: monoclinic



[14]
A geometry-optimized SrCu3I structure, computed with PBE.

abc: 5.124 5.124 5.124
angles: 90.00 90.00 90.00
Fractional coordinates of all 5 atoms:
1 I 0.000 0.000 0.000
2 Sr 0.500 0.500 0.500
3 Cu 0.000 0.500 0.000
4 Cu 0.000 0.000 0.500
5 Cu 0.500 0.000 0.000

Results
Excess energy over the best structure of this formula in the dataset: 0 meV/atom
Uncorrected energy: -2.465 eV/atom
Energy relative to the elements, uncorrected: 639.0 meV per atom
Crystal system: cubic



[15]
A geometry-optimized Sr2CuI structure, computed with PBE.

abc: 4.467 4.467 8.823
angles: 75.33 75.33 60.00
Fractional coordinates of all 4 atoms:
1 Sr 0.067 0.067 0.799
2 Sr 0.267 0.267 0.199
3 Cu 0.668 0.668 0.996
4 I 0.498 0.498 0.505

Results
Excess energy over the best structure of this formula in the dataset: 1 meV/atom
Uncorrected energy: -2.876 eV/atom
Energy relative to the elements, uncorrected: -623.8 meV per atom
Crystal system: trigonal



[16]
A geometry-optimized SrCu3I structure, computed with PBE.

abc: 5.531 5.531 5.531
angles: 90.00 90.00 90.00
Fractional coordinates of all 5 atoms:
1 I 0.500 0.500 0.500
2 Sr 0.000 0.000 0.000
3 Cu 0.000 0.500 0.000
4 Cu 0.000 0.000 0.500
5 Cu 0.500 0.000 0.000

Results
Excess energy over the best structure of this formula in the dataset: 539 meV/atom
Uncorrected energy: -1.926 eV/atom
Energy relative to the elements, uncorrected: 1177.9 meV per atom
Crystal system: cubic